[1]
VASP calculation (PBE) on a relaxed ErTmCo crystal.

Computed properties:
offset from the most stable computed form	43	meV per atom
energy relative to the elements	-0.12	eV per atom
D(E_F)	0.667	states/eV per atom
space group	Cmcm
spin magnetization	0.00	μB per formula unit

Unit cell a=3.432 b=5.072 c=7.767 alpha=90.00 beta=102.78 gamma=90.00
Fractional coordinates of all 6 atoms:
Er  0.139  0.525  0.964
Er  0.721  0.025  0.129
Tm  0.000  0.025  0.685
Tm  0.860  0.525  0.408
Co  0.359  0.026  0.403
Co  0.502  0.525  0.690

[2]
VASP calculation (PBE) on a relaxed Nd4CSe crystal.

Computed properties:
formation energy from raw total energies	-0.6062	eV per atom
D(E_F)	1.126	states/eV per atom
space group	C2/c
spin magnetization	0.00	μB per formula unit

Unit cell a=6.747 b=7.072 c=8.725 alpha=106.36 beta=104.89 gamma=108.65
Fractional coordinates of all 12 atoms:
Nd  0.712  0.983  0.368
Nd  0.844  0.615  0.632
Nd  0.944  0.158  0.885
Nd  0.288  0.017  0.632
Nd  0.056  0.842  0.115
Nd  0.156  0.385  0.368
Nd  0.441  0.727  0.885
Nd  0.559  0.273  0.115
C  0.187  0.937  0.874
C  0.813  0.063  0.126
Se  0.323  0.573  0.146
Se  0.677  0.427  0.854

[3]
VASP calculation (PBE) on a relaxed HfRuN2 crystal.

Computed properties:
offset from the most stable computed form	433	meV per atom
formation energy from raw total energies	-0.0993	eV per atom
D(E_F)	0.650	states/eV per atom
space group	Fm-3m
spin magnetization	0.00	μB per formula unit

Unit cell a=3.905 b=3.905 c=3.905 alpha=60.00 beta=60.00 gamma=60.00
Fractional coordinates of all 4 atoms:
N  0.750  0.750  0.750
N  0.250  0.250  0.250
Hf  0.500  0.500  0.500
Ru  0.000  0.000  0.000

[4]
VASP calculation (PBE) on a relaxed La5IrPt2N crystal.

Computed properties:
formation energy from raw total energies	-1.0032	eV per atom
D(E_F)	0.553	states/eV per atom
space group	Cmc2_1
spin magnetization	0.00	μB per formula unit

Unit cell a=4.226 b=9.157 c=12.662 alpha=90.00 beta=90.00 gamma=103.34
Fractional coordinates of all 18 atoms:
N  0.541  0.082  0.925
N  0.459  0.918  0.425
La  0.970  0.941  0.508
La  0.676  0.353  0.886
La  0.351  0.703  0.009
La  0.717  0.433  0.190
La  0.509  0.017  0.262
La  0.283  0.567  0.690
La  0.649  0.297  0.509
La  0.324  0.647  0.386
La  0.491  0.983  0.762
La  0.030  0.059  0.008
Ir  0.194  0.387  0.040
Ir  0.806  0.613  0.540
Pt  0.868  0.736  0.826
Pt  0.107  0.214  0.679
Pt  0.132  0.264  0.326
Pt  0.893  0.786  0.179

[5]
VASP calculation (PBE) on a relaxed SrCdW2 crystal.

Computed properties:
energy relative to the elements	0.85	eV per atom
D(E_F)	0.908	states/eV per atom
space group	Cm
spin magnetization	0.00	μB per formula unit

Unit cell a=4.767 b=4.767 c=7.013 alpha=86.32 beta=86.32 gamma=34.64
Fractional coordinates of all 4 atoms:
Sr  0.247  0.247  0.235
W  0.006  0.006  0.931
W  0.756  0.756  0.782
Cd  0.492  0.492  0.551

[6]
VASP calculation (PBE) on a relaxed HoUC2 crystal.

Computed properties:
offset from the most stable computed form	0	meV per atom
energy relative to the elements	-0.29	eV per atom
D(E_F)	0.649	states/eV per atom
space group	R-3m
spin magnetization	0.00	μB per formula unit

Unit cell a=3.577 b=3.577 c=6.026 alpha=72.73 beta=72.73 gamma=60.00
Fractional coordinates of all 4 atoms:
Ho  0.000  0.000  0.000
U  0.500  0.500  0.500
C  0.238  0.238  0.286
C  0.762  0.762  0.714

[7]
VASP calculation (PBE) on a relaxed Fe4ReSn crystal.

Computed properties:
energy relative to the elements	0.19	eV per atom
D(E_F)	0.958	states/eV per atom
space group	F-43m
spin magnetization	8.79	μB per formula unit

Unit cell a=4.830 b=4.830 c=4.830 alpha=60.00 beta=60.00 gamma=60.00
Fractional coordinates of all 6 atoms:
Fe  0.626  0.626  0.626
Fe  0.121  0.626  0.626
Fe  0.626  0.121  0.626
Fe  0.626  0.626  0.121
Re  0.000  0.000  0.000
Sn  0.250  0.250  0.250

[8]
VASP calculation (PBE) on a relaxed YCd2Sb crystal.

Computed properties:
formation energy from raw total energies	-0.4717	eV per atom
D(E_F)	0.312	states/eV per atom
space group	P4/mmm
spin magnetization	0.00	μB per formula unit

Unit cell a=4.417 b=4.417 c=5.107 alpha=90.00 beta=90.00 gamma=90.00
Fractional coordinates of all 4 atoms:
Cd  0.000  0.000  0.000
Cd  0.500  0.500  0.000
Y  0.000  0.500  0.500
Sb  0.500  0.000  0.500

[9]
VASP calculation (PBE) on a relaxed AcNd3Y6Tm2 crystal.

Computed properties:
energy relative to the elements	0.03	eV per atom
D(E_F)	1.324	states/eV per atom
space group	C2/m
spin magnetization	0.00	μB per formula unit

Unit cell a=6.267 b=6.267 c=11.968 alpha=94.99 beta=94.99 gamma=119.98
Fractional coordinates of all 12 atoms:
Tm  0.333  0.667  0.000
Tm  0.667  0.333  0.000
Nd  0.500  0.500  0.500
Nd  0.833  0.167  0.500
Nd  0.167  0.833  0.500
Y  0.420  0.084  0.250
Y  0.253  0.253  0.750
Y  0.916  0.580  0.750
Y  0.084  0.420  0.250
Y  0.580  0.916  0.750
Y  0.747  0.747  0.250
Ac  0.000  0.000  0.000

[10]
VASP calculation (PBE) on a relaxed NaTi5O8 crystal.

Computed properties:
formation energy from raw total energies	-2.6928	eV per atom
D(E_F)	0.404	states/eV per atom
space group	Cm
spin magnetization	0.80	μB per formula unit

Unit cell a=2.996 b=7.296 c=7.832 alpha=106.10 beta=101.03 gamma=90.00
Fractional coordinates of all 14 atoms:
O  0.079  0.808  0.158
O  0.171  0.483  0.342
O  0.421  0.859  0.841
O  0.768  0.850  0.537
O  0.829  0.517  0.658
O  0.921  0.192  0.842
O  0.232  0.150  0.463
O  0.579  0.141  0.159
Na  0.500  0.500  0.001
Ti  0.343  0.045  0.685
Ti  0.657  0.955  0.315
Ti  0.704  0.335  0.408
Ti  0.000  0.000  0.000
Ti  0.296  0.666  0.592

[11]
VASP calculation (PBE) on a relaxed HoThGa2Cu2 crystal.

Computed properties:
energy relative to the elements	-0.46	eV per atom
D(E_F)	0.933	states/eV per atom
space group	P-3m1
spin magnetization	0.00	μB per formula unit

Unit cell a=4.357 b=4.357 c=7.381 alpha=90.00 beta=90.00 gamma=120.00
Fractional coordinates of all 6 atoms:
Ho  0.000  0.000  0.500
Cu  0.333  0.667  0.725
Cu  0.667  0.333  0.275
Ga  0.667  0.333  0.738
Ga  0.333  0.667  0.262
Th  0.000  0.000  0.000

[12]
VASP calculation (PBE) on a relaxed LiCrFe2N crystal.

Computed properties:
formation energy from raw total energies	-0.0088	eV per atom
D(E_F)	1.062	states/eV per atom
space group	P4/mmm
spin magnetization	5.66	μB per formula unit

Unit cell a=3.807 b=3.807 c=3.823 alpha=90.00 beta=90.00 gamma=90.00
Fractional coordinates of all 5 atoms:
Cr  0.000  0.000  0.500
N  0.000  0.000  0.000
Li  0.500  0.500  0.500
Fe  0.500  0.000  0.000
Fe  0.000  0.500  0.000

[13]
VASP calculation (PBE) on a relaxed Mn2CoOs crystal.

Computed properties:
energy relative to the elements	0.09	eV per atom
D(E_F)	0.911	states/eV per atom
space group	P4/mmm
spin magnetization	6.97	μB per formula unit

Unit cell a=4.190 b=4.190 c=2.898 alpha=90.00 beta=90.00 gamma=90.00
Fractional coordinates of all 4 atoms:
Os  0.500  0.970  0.933
Co  0.000  0.470  0.933
Mn  0.000  0.970  0.433
Mn  0.500  0.470  0.433

[14]
VASP calculation (PBE) on a relaxed Ga2TcHgSb crystal.

Computed properties:
formation energy from raw total energies	0.0572	eV per atom
D(E_F)	0.170	states/eV per atom
space group	P4/mmm
spin magnetization	0.00	μB per formula unit

Unit cell a=4.961 b=4.961 c=5.083 alpha=90.00 beta=90.00 gamma=90.00
Fractional coordinates of all 5 atoms:
Sb  0.000  0.000  0.500
Tc  0.000  0.000  0.000
Hg  0.500  0.500  0.500
Ga  0.500  0.000  0.000
Ga  0.000  0.500  0.000

[15]
VASP calculation (PBE) on a relaxed ZnBiIr crystal.

Computed properties:
offset from the most stable computed form	60	meV per atom
energy relative to the elements	0.01	eV per atom
D(E_F)	0.441	states/eV per atom
space group	P4/nmm
spin magnetization	0.00	μB per formula unit

Unit cell a=4.352 b=4.352 c=6.404 alpha=90.00 beta=90.00 gamma=90.00
Fractional coordinates of all 6 atoms:
Ir  0.000  0.000  0.500
Ir  0.500  0.500  0.500
Bi  0.500  0.000  0.196
Bi  0.000  0.500  0.804
Zn  0.500  0.000  0.726
Zn  0.000  0.500  0.274

[16]
VASP calculation (PBE) on a relaxed Sc3CrMo crystal.

Computed properties:
offset from the most stable computed form	151	meV per atom
energy relative to the elements	0.89	eV per atom
D(E_F)	1.124	states/eV per atom
space group	Pm-3m
spin magnetization	2.56	μB per formula unit

Unit cell a=4.756 b=4.756 c=4.756 alpha=90.00 beta=90.00 gamma=90.00
Fractional coordinates of all 5 atoms:
Sc  0.000  0.500  0.000
Sc  0.000  0.000  0.500
Sc  0.500  0.000  0.000
Mo  0.500  0.500  0.500
Cr  0.000  0.000  0.000

[17]
VASP calculation (PBE) on a relaxed Pm3ErTl3Te8 crystal.

Computed properties:
formation energy from raw total energies	-1.0594	eV per atom
D(E_F)	0.446	states/eV per atom
space group	P-1
spin magnetization	0.00	μB per formula unit

Unit cell a=8.940 b=8.947 c=9.671 alpha=117.59 beta=90.01 gamma=119.98
Fractional coordinates of all 15 atoms:
Tl  0.000  0.000  0.000
Tl  0.000  0.500  0.000
Tl  0.500  0.500  0.000
Te  0.741  0.482  0.722
Te  0.254  0.019  0.283
Te  0.765  0.529  0.283
Te  0.746  0.981  0.717
Te  0.235  0.981  0.717
Te  0.765  0.019  0.283
Te  0.235  0.471  0.717
Te  0.259  0.518  0.278
Er  0.000  0.000  0.500
Pm  0.500  0.500  0.500
Pm  0.000  0.500  0.500
Pm  0.500  0.000  0.500

[18]
VASP calculation (PBE) on a relaxed HoScAg crystal.

Computed properties:
offset from the most stable computed form	114	meV per atom
energy relative to the elements	-0.04	eV per atom
D(E_F)	0.941	states/eV per atom
space group	P3m1
spin magnetization	0.00	μB per formula unit

Unit cell a=3.528 b=4.883 c=4.883 alpha=120.00 beta=90.00 gamma=90.00
Fractional coordinates of all 3 atoms:
Sc  0.095  0.000  0.000
Ho  0.632  0.667  0.333
Ag  0.273  0.333  0.667

[19]
VASP calculation (PBE) on a relaxed K2CuTe2 crystal.

Computed properties:
formation energy from raw total energies	-0.6622	eV per atom
D(E_F)	0.435	states/eV per atom
space group	P-1
spin magnetization	0.00	μB per formula unit

Unit cell a=4.358 b=6.933 c=12.569 alpha=75.71 beta=80.01 gamma=71.67
Fractional coordinates of all 10 atoms:
Cu  0.589  0.124  0.693
Cu  0.411  0.876  0.307
K  0.678  0.279  0.367
K  0.082  0.741  0.096
K  0.918  0.259  0.904
K  0.322  0.721  0.633
Te  0.662  0.824  0.852
Te  0.053  0.280  0.610
Te  0.947  0.720  0.390
Te  0.338  0.176  0.148

[20]
VASP calculation (PBE) on a relaxed BaCa3Rh crystal.

Computed properties:
offset from the most stable computed form	167	meV per atom
energy relative to the elements	-0.06	eV per atom
D(E_F)	0.968	states/eV per atom
space group	Fd-3m
spin magnetization	0.37	μB per formula unit

Unit cell a=10.762 b=10.762 c=10.762 alpha=60.00 beta=60.00 gamma=60.00
Fractional coordinates of all 20 atoms:
Ca  0.176  0.824  0.824
Ca  0.426  0.074  0.074
Ca  0.176  0.176  0.824
Ca  0.824  0.176  0.176
Ca  0.426  0.074  0.426
Ca  0.074  0.426  0.426
Ca  0.426  0.426  0.074
Ca  0.176  0.824  0.176
Ca  0.824  0.824  0.176
Ca  0.074  0.074  0.426
Ca  0.824  0.176  0.824
Ca  0.074  0.426  0.074
Rh  0.125  0.625  0.125
Rh  0.125  0.125  0.125
Rh  0.125  0.125  0.625
Rh  0.625  0.125  0.125
Ba  0.125  0.625  0.625
Ba  0.625  0.125  0.625
Ba  0.625  0.625  0.625
Ba  0.625  0.625  0.125

[21]
VASP calculation (PBE) on a relaxed MgFeRu crystal.

Computed properties:
offset from the most stable computed form	82	meV per atom
energy relative to the elements	0.14	eV per atom
D(E_F)	0.929	states/eV per atom
space group	C2/m
spin magnetization	0.43	μB per formula unit

Unit cell a=4.009 b=5.104 c=5.184 alpha=101.01 beta=112.74 gamma=66.88
Fractional coordinates of all 6 atoms:
Mg  0.222  0.575  0.514
Mg  0.370  0.926  0.161
Fe  0.646  0.335  0.123
Fe  0.945  0.166  0.552
Ru  0.631  0.998  0.755
Ru  0.961  0.503  0.920

[22]
VASP calculation (PBE) on a relaxed BC2 crystal.

Computed properties:
offset from the most stable computed form	134	meV per atom
energy relative to the elements	0.37	eV per atom
D(E_F)	0.140	states/eV per atom
space group	C2/m
spin magnetization	0.00	μB per formula unit

Unit cell a=4.643 b=4.643 c=7.474 alpha=116.43 beta=116.43 gamma=32.11
Fractional coordinates of all 12 atoms:
B  0.862  0.862  0.054
B  0.305  0.305  0.155
B  0.509  0.509  0.384
B  0.658  0.658  0.824
C  0.669  0.669  0.336
C  0.498  0.498  0.872
C  0.835  0.835  0.543
C  0.162  0.162  0.216
C  0.998  0.998  0.510
C  0.005  0.005  0.992
C  0.332  0.332  0.665
C  0.169  0.169  0.699

[23]
VASP calculation (PBE) on a relaxed GaPIO2 crystal.

Computed properties:
offset from the most stable computed form	2	meV per atom
formation energy from raw total energies	-0.1053	eV per atom
D(E_F)	0.446	states/eV per atom
space group	P4/mmm
spin magnetization	1.03	μB per formula unit

Unit cell a=3.795 b=3.795 c=6.279 alpha=90.00 beta=90.00 gamma=90.00
Fractional coordinates of all 5 atoms:
O  0.000  0.500  0.000
O  0.500  0.000  0.000
P  0.000  0.000  0.500
I  0.500  0.500  0.500
Ga  0.000  0.000  0.000

[24]
VASP calculation (PBE) on a relaxed Be2Zn2PbO6 crystal.

Computed properties:
formation energy from raw total energies	-1.5597	eV per atom
space group	P-3
spin magnetization	0.00	μB per formula unit

Unit cell a=5.219 b=5.219 c=6.294 alpha=90.00 beta=90.00 gamma=120.00
Fractional coordinates of all 11 atoms:
O  0.681  0.637  0.209
O  0.044  0.681  0.791
O  0.956  0.319  0.209
O  0.363  0.044  0.209
O  0.319  0.363  0.791
O  0.637  0.956  0.791
Pb  0.000  0.000  0.000
Zn  0.333  0.667  0.241
Zn  0.667  0.333  0.759
Be  0.333  0.667  0.787
Be  0.667  0.333  0.213